Density functional theory data (GGA-PBE) for a relaxed structure of PaTl3Cr2Se6.

```
data_PaTl3Cr2Se6
_chemical_formula_sum 'Pa1 Tl3 Cr2 Se6'
_symmetry_space_group_name_H-M 'P 1'
_symmetry_Int_Tables_number 1
_cell_length_a 6.658
_cell_length_b 6.658
_cell_length_c 8.440
_cell_angle_alpha 97.63
_cell_angle_beta 97.63
_cell_angle_gamma 119.96
loop_
_symmetry_equiv_pos_as_xyz
'x,y,z'
loop_
_atom_site_label
_atom_site_type_symbol
_atom_site_fract_x
_atom_site_fract_y
_atom_site_fract_z
Pa1 Pa 0.000 0.000 0.000
Tl1 Tl 0.163 0.837 0.500
Tl2 Tl 0.837 0.163 0.500
Tl3 Tl 0.500 0.500 0.500
Cr1 Cr 0.333 0.667 0.000
Cr2 Cr 0.667 0.333 0.000
Se1 Se 0.938 0.582 0.814
Se2 Se 0.706 0.706 0.184
Se3 Se 0.062 0.418 0.186
Se4 Se 0.582 0.938 0.814
Se5 Se 0.294 0.294 0.816
Se6 Se 0.418 0.062 0.186
```

## Properties
DFT total energy: -5.4188 eV/atom
formation energy from raw total energies: -66.55 kJ/mol of atoms
magnetization: 7.9 μB per cell